Below is a geometry-optimized DyEr2Mg3NiAu2 structure, with properties calculated at the GGA-PBE level.

a b c (Å): 4.0178 7.4960 7.4960
angles (deg): 120.16 90.00 90.00
With the nearest neighbours (Å) after each atom.
Element x y z (fractional)
Au1 0.5000 0.6688 0.3327  3 Mg 2.90-2.93, 4 Er 3.03-3.04, 2 Dy 3.05
Au2 0.5000 0.3327 0.6688  3 Mg 2.90-2.93, 4 Er 3.03-3.04, 2 Dy 3.05
Dy1 0.0000 0.4039 0.4039  1 Ni 3.03, 4 Au 3.05, 6 Mg 3.31-3.35
Er1 0.0000 0.9995 0.5973  1 Ni 3.01, 4 Au 3.03-3.04, 6 Mg 3.30-3.36
Er2 0.0000 0.5973 0.9995  1 Ni 3.01, 4 Au 3.03-3.04, 6 Mg 3.30-3.36
Mg1 0.5000 0.9997 0.2379  2 Ni 2.69, 2 Au 2.90-2.93
Mg2 0.5000 0.7619 0.7619  2 Ni 2.68, 2 Au 2.93
Mg3 0.5000 0.2379 0.9997  2 Ni 2.69, 2 Au 2.90-2.93
Ni1 0.0000 0.9985 0.9985  6 Mg 2.68-2.69

Total energy = -3.95 eV/atom